No. 1
A geometry-optimized Sr3Tm3AgSe8 structure, computed with PBE-GGA.

Results
Formation energy without anion corrections (eV/atom): -1.6805
Density (kg/m³): 5945
Fermi-level density of states (states/eV/cell): 0.48
M_tot (Bohr magnetons per cell): 0.00

Cell: 8.331 8.331 8.504 Å, 119.33 90.00 120.00°
Element x y z (fractional)
Sr  0.000  0.000  0.000
Se  0.258  0.515  0.273
Se  0.751  0.023  0.273
Ag  0.000  0.000  0.500
Se  0.249  0.499  0.726
Se  0.728  0.977  0.727
Tm  0.500  0.000  0.500
Se  0.272  0.023  0.273
Sr  0.500  0.500  0.000
Tm  0.500  0.500  0.500
Sr  0.000  0.500  0.000
Tm  0.000  0.500  0.500
Se  0.249  0.977  0.727
Se  0.751  0.501  0.274
Se  0.742  0.485  0.727

No. 2
A geometry-optimized Sr2TmAg2Se4 structure, computed with PBE-GGA.

Results
Formation energy without anion corrections (eV/atom): -1.2650
Density (kg/m³): 6314
Fermi-level density of states (states/eV/cell): 2.15
M_tot (Bohr magnetons per cell): 0.00

Cell: 4.071 7.853 8.288 Å, 115.41 104.22 90.00°
Element x y z (fractional)
Sr  0.862  0.414  0.723
Sr  0.138  0.586  0.277
Se  0.509  0.742  0.019
Tm  0.000  0.000  0.000
Se  0.807  0.749  0.614
Se  0.491  0.258  0.981
Ag  0.687  0.004  0.374
Se  0.193  0.251  0.386
Ag  0.313  0.996  0.626

No. 3
A geometry-optimized Sr2TmAgSe4 structure, computed with PBE-GGA.

Results
Formation energy without anion corrections (eV/atom): -1.5645
Density (kg/m³): 5828
M_tot (Bohr magnetons per cell): 0.00

Cell: 4.269 7.314 7.459 Å, 69.95 90.00 90.00°
Element x y z (fractional)
Sr  0.000  0.000  0.000
Se  0.000  0.723  0.749
Se  0.500  0.270  0.732
Tm  0.000  0.500  0.500
Se  0.500  0.730  0.268
Ag  0.500  0.500  0.000
Se  0.000  0.277  0.251
Sr  0.500  0.000  0.500

No. 4
A geometry-optimized Sr2UAgSe5 structure, computed with PBE-GGA.

Results
Formation energy without anion corrections (eV/atom): -1.3313
Density (kg/m³): 6002
Fermi-level density of states (states/eV/cell): 11.23
M_tot (Bohr magnetons per cell): 1.98

Cell: 4.253 9.309 13.150 Å, 90.00 90.00 103.21°
Element x y z (fractional)
Ag  0.566  0.132  0.940
Se  0.708  0.417  0.878
Sr  0.900  0.801  0.177
Sr  0.882  0.764  0.816
Se  0.498  0.995  0.767
Se  0.935  0.870  0.559
Sr  0.100  0.199  0.677
U  0.210  0.421  0.021
Se  0.281  0.561  0.663
Se  0.502  0.005  0.267
Se  0.292  0.583  0.378
Sr  0.118  0.236  0.316
Se  0.361  0.723  0.004
Se  0.719  0.439  0.163
Se  0.639  0.277  0.504
U  0.790  0.579  0.521
Ag  0.434  0.868  0.440
Se  0.065  0.130  0.059

No. 5
A geometry-optimized SrUAgSe4 structure, computed with PBE-GGA.

Results
Formation energy without anion corrections (eV/atom): -1.0082
Density (kg/m³): 6423
Fermi-level density of states (states/eV/cell): 12.62
M_tot (Bohr magnetons per cell): 2.02

Cell: 6.808 7.133 8.333 Å, 90.00 106.76 90.00°
Element x y z (fractional)
Ag  0.759  0.250  0.671
Se  0.035  0.520  0.723
Se  0.965  0.020  0.277
Se  0.035  0.980  0.723
Se  0.482  0.750  0.142
Se  0.505  0.750  0.620
Ag  0.241  0.750  0.329
Sr  0.806  0.750  0.957
Se  0.495  0.250  0.380
Se  0.518  0.250  0.858
U  0.217  0.250  0.555
Se  0.965  0.480  0.277
Sr  0.194  0.250  0.043
U  0.783  0.750  0.445

No. 6
A geometry-optimized SrY2AgSe structure, computed with PBE-GGA.

Results
Formation energy without anion corrections (eV/atom): 0.8157
Density (kg/m³): 3814
Fermi-level density of states (states/eV/cell): 4.75
M_tot (Bohr magnetons per cell): 0.00

Cell: 6.028 5.418 6.028 Å, 90.00 90.00 90.00°
Element x y z (fractional)
Y  0.500  0.000  0.000
Sr  0.000  0.000  0.000
Ag  0.500  0.500  0.500
Y  0.000  0.000  0.500
Se  0.000  0.500  0.000

No. 7
A geometry-optimized Sr4Y3AgSe8 structure, computed with PBE-GGA.

Results
Formation energy without anion corrections (eV/atom): -1.7467
Density (kg/m³): 5148
Fermi-level density of states (states/eV/cell): 4.37
M_tot (Bohr magnetons per cell): 0.00

Cell: 8.506 8.539 8.505 Å, 119.88 120.00 90.00°
Element x y z (fractional)
Sr  0.500  0.000  0.000
Y  0.500  0.500  0.500
Se  0.755  0.270  0.016
Y  0.500  0.500  0.000
Sr  0.000  0.000  0.000
Ag  0.000  0.500  0.000
Se  0.261  0.270  0.016
Se  0.256  0.269  0.513
Se  0.245  0.730  0.491
Sr  0.000  0.000  0.500
Se  0.744  0.731  0.487
Y  0.000  0.500  0.500
Se  0.245  0.730  0.984
Se  0.739  0.730  0.984
Sr  0.500  0.000  0.500
Se  0.755  0.270  0.509

No. 8
A geometry-optimized Sr2YAgSe4 structure, computed with PBE-GGA.

Results
Formation energy without anion corrections (eV/atom): -1.5794
Density (kg/m³): 5151
M_tot (Bohr magnetons per cell): 0.00

Cell: 4.293 7.472 7.360 Å, 110.08 90.00 90.00°
Element x y z (fractional)
Sr  0.000  0.500  0.500
Sr  0.500  0.000  0.500
Y  0.500  0.500  0.000
Se  0.500  0.751  0.774
Se  0.500  0.249  0.226
Se  0.000  0.734  0.233
Ag  0.000  0.000  0.000
Se  0.000  0.266  0.767